A geometry-optimized Sr2SbAu2 structure. Source: the Alexandria database, functional PBE-GGA.

Summary:
theoretical density = 7.8 g/cm3
E_form (uncorrected) = -0.688 eV/atom
energy relative to the lowest polymorph listed for this composition = 113 meV per atom
total magnetization = 0.000 μB/atom
space group = I4/mmm

```
Sr2SbAu2
1.0
-2.022 2.022 8.970
2.022 -2.022 8.970
2.022 2.022 -8.970
Sr Sb Au
2 1 2
Direct
0.107 0.107 0.000
0.893 0.893 0.000
0.500 0.500 0.000
0.250 0.750 0.500
0.750 0.250 0.500
```